Entry 1:
Below is AcYBi after structural relaxation, with properties calculated at the PBE-GGA level.

Cell: 5.368 5.368 4.388 Å, 90.00 90.00 120.00°
Atoms (fractional coordinates):
Ac  0.000  0.000  0.000
Y  0.333  0.667  0.500
Bi  0.667  0.333  0.500

## Properties
DOS at the Fermi energy	4.53	states/eV/f.u.
crystal system	hexagonal
spin magnetization	0.37	μB/f.u.
energy of formation from the pure elements	-348	meV/atom
offset from the most stable computed form	301	meV/atom
E_tot	-0.1898	Ha/atom
space group	P-6m2, No. 187


Entry 2:
Below is Th4AuSe5 after structural relaxation, with properties calculated at the PBE-GGA level.

Cell: 9.549 9.549 8.491 Å, 106.04 106.04 25.78°
Atoms (fractional coordinates):
Th  0.001  0.001  0.250
Th  0.329  0.329  0.882
Th  0.671  0.671  0.118
Th  0.999  0.999  0.750
Au  0.500  0.500  0.000
Se  0.166  0.166  0.345
Se  0.167  0.167  0.866
Se  0.500  0.500  0.500
Se  0.833  0.833  0.134
Se  0.834  0.834  0.655

## Properties
DOS at the Fermi energy	6.51	states/eV/f.u.
crystal system	monoclinic
spin magnetization	0.00	μB/f.u.
E_tot	-0.2367	Ha/atom
space group	C2/m, No. 12